(1)
A relaxed structure of LiAsSN2. Source: Alexandria via LeMat-Bulk, functional PBE.

abc: 3.764 5.010 3.764
angles: 90.00 90.00 90.00
Atoms (fractional coordinates):
S 0.000 0.500 0.000
Li 0.500 0.500 0.500
As 0.000 0.000 0.000
N 0.500 0.000 0.000
N 0.000 0.000 0.500

## Properties
calculated volume	14.2	A^3/atom
spin magnetization	1.81	μB per cell
SG	P4/mmm
polymorph energy (0 for the lowest one)	0	meV per atom
Fermi-level density of states	2.47	states/eV per cell
formation energy from raw total energies	886.8	meV/atom

=====

(2)
A relaxed structure of LiSc2AsN. Source: Alexandria via LeMat-Bulk, functional PBE.

abc: 4.345 4.345 3.998
angles: 90.00 90.00 90.00
Atoms (fractional coordinates):
As 0.500 0.500 0.500
Sc 0.500 0.000 0.000
Sc 0.000 0.500 0.000
Li 0.000 0.000 0.500
N 0.000 0.000 0.000

## Properties
calculated volume	15.1	A^3/atom
spin magnetization	0.00	μB per cell
SG	P4/mmm
Fermi-level density of states	1.55	states/eV per cell
formation energy from raw total energies	-1235.0	meV/atom

=====

(3)
A relaxed structure of LiAsSe2N. Source: Alexandria via LeMat-Bulk, functional PBE.

abc: 4.640 4.640 4.648
angles: 90.00 90.00 90.00
Atoms (fractional coordinates):
Se 0.000 0.500 0.000
Li 0.000 0.000 0.000
Se 0.500 0.000 0.000
N 0.500 0.500 0.500
As 0.000 0.000 0.500

## Properties
calculated volume	20.0	A^3/atom
spin magnetization	2.55	μB per cell
SG	P4/mmm
polymorph energy (0 for the lowest one)	904	meV per atom
Fermi-level density of states	3.38	states/eV per cell
formation energy from raw total energies	1362.9	meV/atom

=====

(4)
A relaxed structure of LiAsSe2N. Source: Alexandria via LeMat-Bulk, functional PBE.

abc: 4.815 4.815 3.543
angles: 90.00 90.00 90.00
Atoms (fractional coordinates):
Li 0.000 0.000 0.000
Se 0.000 0.500 0.000
As 0.500 0.500 0.500
N 0.000 0.000 0.500
Se 0.500 0.000 0.000

## Properties
calculated volume	16.4	A^3/atom
spin magnetization	0.43	μB per cell
SG	P4/mmm
polymorph energy (0 for the lowest one)	470	meV per atom
Fermi-level density of states	2.35	states/eV per cell
formation energy from raw total energies	928.2	meV/atom

=====

(5)
A relaxed structure of LiAsSeN2. Source: Alexandria via LeMat-Bulk, functional PBE.

abc: 3.735 3.735 5.482
angles: 90.00 90.00 90.00
Atoms (fractional coordinates):
Li 0.500 0.500 0.500
Se 0.000 0.000 0.500
As 0.000 0.000 0.000
N 0.500 0.000 0.000
N 0.000 0.500 0.000

## Properties
calculated volume	15.3	A^3/atom
spin magnetization	1.19	μB per cell
SG	P4/mmm
polymorph energy (0 for the lowest one)	0	meV per atom
Fermi-level density of states	3.24	states/eV per cell
formation energy from raw total energies	901.6	meV/atom

=====

(6)
A relaxed structure of LiAsSe2N. Source: Alexandria via LeMat-Bulk, functional PBE.

abc: 5.304 5.304 3.566
angles: 90.00 90.00 90.00
Atoms (fractional coordinates):
As 0.000 0.000 0.000
Se 0.500 0.000 0.000
Se 0.000 0.500 0.000
N 0.000 0.000 0.500
Li 0.500 0.500 0.500

## Properties
calculated volume	20.1	A^3/atom
spin magnetization	0.00	μB per cell
SG	P4/mmm
polymorph energy (0 for the lowest one)	0	meV per atom
Fermi-level density of states	3.16	states/eV per cell
formation energy from raw total energies	458.6	meV/atom

=====

(7)
A relaxed structure of LiAsSe2N. Source: Alexandria via LeMat-Bulk, functional PBE.

abc: 4.674 4.674 4.091
angles: 90.00 90.00 90.00
Atoms (fractional coordinates):
Se 0.000 0.500 0.000
Li 0.500 0.500 0.500
As 0.000 0.000 0.500
N 0.000 0.000 0.000
Se 0.500 0.000 0.000

## Properties
calculated volume	17.9	A^3/atom
spin magnetization	0.00	μB per cell
SG	P4/mmm
polymorph energy (0 for the lowest one)	69	meV per atom
Fermi-level density of states	2.53	states/eV per cell
formation energy from raw total energies	527.8	meV/atom

=====

(8)
A relaxed structure of LiAsSeN2. Source: Alexandria via LeMat-Bulk, functional PBE.

abc: 3.947 3.947 4.923
angles: 90.00 90.00 90.00
Atoms (fractional coordinates):
N 0.000 0.500 0.000
Li 0.000 0.000 0.000
Se 0.000 0.000 0.500
As 0.500 0.500 0.500
N 0.500 0.000 0.000

## Properties
calculated volume	15.3	A^3/atom
spin magnetization	4.04	μB per cell
SG	P4/mmm
polymorph energy (0 for the lowest one)	734	meV per atom
Fermi-level density of states	2.01	states/eV per cell
formation energy from raw total energies	1635.8	meV/atom